(1)
Below is AlSbIO2 after structural relaxation, with properties calculated at the PBE-GGA level.

Formation energy without anion corrections, eV/atom: -0.309
Total magnetic moment, μB/cell: 0.00
Density of states at the Fermi level, states/eV/cell: 1.06

The structure in extended XYZ format:
```
5
Lattice="-3.9036 0.5646 1.3803 -0.6638 -4.1213 -0.1916 2.0872 -0.6224 6.1570" Properties=species:S:1:pos:R:3 pbc="T T T"
Sb 0.0000 0.0000 0.0000
O -1.9518 0.2823 0.6902
O -0.3319 -2.0606 -0.0958
Al -1.2401 -2.0895 3.6729
I 1.0436 -0.3112 3.0785
```


(2)
Below is Sm8Pt2Rh after structural relaxation, with properties calculated at the PBE-GGA level.

Formation enthalpy at 0 K, kJ per mole of atoms: -55.5
Total magnetic moment, μB/cell: 0.00
Density of states at the Fermi level, states/eV/cell: 12.14

The structure in extended XYZ format:
```
11
Lattice="5.0489 0.0000 0.0000 0.0000 6.9071 0.5995 -2.5244 -2.2451 8.5184" Properties=species:S:1:pos:R:3 pbc="T T T"
Sm 0.0000 -1.2897 5.7559
Sm 2.5244 5.9517 3.3621
Sm 2.5244 2.6617 1.7660
Sm 0.0000 2.0003 7.3520
Sm 0.0000 1.3681 3.6832
Sm 0.0000 5.2395 1.0338
Sm 2.5244 -0.5774 8.0842
Sm 2.5244 3.2939 5.4348
Pt 2.5244 0.4494 5.2767
Pt 0.0000 4.2126 3.8413
Rh 2.5244 0.0000 0.0000
```


(3)
Below is ErNi2GeH after structural relaxation, with properties calculated at the PBE-GGA level.

VASP energy, Ry per atom: -0.40000
Total magnetic moment, μB/cell: 0.00
Density of states at the Fermi level, states/eV/cell: 2.80

The structure in extended XYZ format:
```
10
Lattice="3.7629 0.0000 0.0000 -1.8815 5.1020 0.0000 0.0000 0.0000 6.8241" Properties=species:S:1:pos:R:3 pbc="T T T"
Ni 1.8815 3.4774 0.3874
Ni 1.8815 3.4774 3.0246
Ni 0.0000 1.6246 6.4367
Ni 0.0000 1.6246 3.7994
H 0.0000 0.0000 3.4120
H 0.0000 0.0000 0.0000
Er 0.0000 4.5072 5.1181
Er 1.8815 0.5948 1.7060
Ge 0.0000 2.8071 1.7060
Ge 1.8815 2.2949 5.1181
```


(4)
Below is FePb after structural relaxation, with properties calculated at the PBE-GGA level.

Formation enthalpy at 0 K, kJ per mole of atoms: 119.7
Total magnetic moment, μB/cell: 15.06
Density of states at the Fermi level, states/eV/cell: 25.10

The structure in extended XYZ format:
```
12
Lattice="7.4937 0.0000 0.0000 0.0000 7.4937 0.0000 0.0000 0.0000 7.4937" Properties=species:S:1:pos:R:3 pbc="T T T"
Pb 5.6202 0.0000 3.7468
Pb 1.8734 0.0000 3.7468
Pb 3.7468 5.6202 0.0000
Pb 3.7468 1.8734 0.0000
Pb 0.0000 3.7468 5.6202
Pb 0.0000 3.7468 1.8734
Fe 3.7468 0.0000 1.8734
Fe 5.6202 3.7468 0.0000
Fe 0.0000 5.6202 3.7468
Fe 3.7468 0.0000 5.6202
Fe 0.0000 1.8734 3.7468
Fe 1.8734 3.7468 0.0000
```


(5)
Below is YMgNb2Mo after structural relaxation, with properties calculated at the PBE-GGA level.

Formation enthalpy at 0 K, kJ per mole of atoms: 86.3
Total magnetic moment, μB/cell: 0.00
Density of states at the Fermi level, states/eV/cell: 7.71

The structure in extended XYZ format:
```
5
Lattice="4.8870 0.0000 0.0000 0.0000 5.4161 0.0000 0.0000 0.0000 4.8870" Properties=species:S:1:pos:R:3 pbc="T T T"
Mg 2.4435 2.7080 2.4435
Mo 0.0000 0.0000 0.0000
Y 0.0000 2.7080 0.0000
Nb 2.4435 0.0000 0.0000
Nb 0.0000 0.0000 2.4435
```


(6)
Below is TbSm5Tm2Sc after structural relaxation, with properties calculated at the PBE-GGA level.

Formation enthalpy at 0 K, kJ per mole of atoms: 15.6
Total magnetic moment, μB/cell: 0.00
Density of states at the Fermi level, states/eV/cell: 29.20

The structure in extended XYZ format:
```
18
Lattice="5.5413 0.0000 0.0000 -2.7707 10.1402 0.0000 0.0000 0.0000 10.4002" Properties=species:S:1:pos:R:3 pbc="T T T"
Sm 0.0000 6.0742 7.3689
Sm 2.7707 0.2826 2.5284
Sm 0.0000 5.5710 3.3445
Sm 2.7707 4.0660 2.1688
Sm 2.7707 9.8319 5.3280
Sm 2.7707 4.5692 8.5446
Sm 0.0000 9.8576 7.7285
Sm 0.0000 0.3083 0.1279
Sm 0.0000 7.5985 0.1976
Sm 2.7707 2.5417 5.3977
Tm 2.7707 7.8751 8.3571
Tm 0.0000 2.3515 7.6890
Tm 2.7707 7.7887 2.4889
Tm 0.0000 2.2651 3.1570
Tb 2.7707 1.9232 9.9963
Tb 0.0000 8.2170 4.7962
Sc 2.7707 6.1885 5.3604
Sc 0.0000 3.9517 0.1603
```


> Among the records above, which one has the highest density of states at the Fermi level?

TbSm5Tm2Sc